Version i
## As2PdPb2 (GGA-PBE)

Data for a relaxed structure of As2PdPb2.

Lattice parameters (Å, degrees): 5.893 5.893 5.581 58.13 58.13 90.00
Element x y z (fractional)
Pb1 0.750 0.250 0.500
Pb2 0.250 0.750 0.500
As1 0.335 0.335 0.331
As2 0.665 0.665 0.669
Pd1 0.000 0.000 0.000

## Properties
Space-group type: No. 139

---

Version ii
## As2PdPb2 (GGA-PBE)

Data for a relaxed structure of As2PdPb2.

Lattice parameters (Å, degrees): 6.675 6.675 5.313 90.00 90.00 90.00
Element x y z (fractional)
Pd1 0.500 0.500 0.000
Pd2 0.000 0.000 0.000
Pb1 0.686 0.814 0.500
Pb2 0.814 0.314 0.500
Pb3 0.314 0.186 0.500
Pb4 0.186 0.686 0.500
As1 0.366 0.866 0.000
As2 0.634 0.134 0.000
As3 0.866 0.634 0.000
As4 0.134 0.366 0.000

## Properties
Space-group type: No. 127

---

On energetic grounds, version ii is preferred over the next structure by 21.8 kJ/mol of atoms.

---

Version i
## As2Pd7Pb (GGA-PBE)

Data for a relaxed structure of As2Pd7Pb.

Lattice parameters (Å, degrees): 4.482 7.102 7.102 117.18 90.00 90.00
Element x y z (fractional)
Pd1 0.500 0.692 0.936
Pd2 0.500 0.064 0.308
Pd3 0.500 0.308 0.064
Pd4 0.000 0.230 0.770
Pd5 0.500 0.936 0.692
Pd6 0.000 0.770 0.230
Pd7 0.500 0.500 0.500
Pb1 0.000 0.000 0.000
As1 0.500 0.696 0.304
As2 0.500 0.304 0.696

## Properties
Space-group type: No. 65

---

Version ii
## As2Pd7Pb (GGA-PBE)

Data for a relaxed structure of As2Pd7Pb.

Lattice parameters (Å, degrees): 4.091 4.091 10.735 100.98 100.98 90.00
Element x y z (fractional)
As1 0.674 0.674 0.348
As2 0.326 0.326 0.652
Pd1 0.396 0.896 0.792
Pd2 0.750 0.250 0.500
Pd3 0.500 0.500 0.000
Pd4 0.104 0.604 0.208
Pd5 0.250 0.750 0.500
Pd6 0.604 0.104 0.208
Pd7 0.896 0.396 0.792
Pb1 0.000 0.000 0.000

## Properties
Space-group type: No. 139

---

On energetic grounds, version ii is preferred over the next structure by 20.1 kJ/mol of atoms.

---

Version i
## Pm2AsPb (GGA-PBE)

Data for a relaxed structure of Pm2AsPb.

Lattice parameters (Å, degrees): 4.082 4.082 8.691 76.42 76.42 60.00
Element x y z (fractional)
Pb1 0.499 0.499 0.502
As1 0.667 0.667 0.998
Pm1 0.068 0.068 0.796
Pm2 0.265 0.265 0.204

## Properties
Space-group type: No. 160

---

Version ii
## Pm2AsPb (GGA-PBE)

Data for a relaxed structure of Pm2AsPb.

Lattice parameters (Å, degrees): 4.171 4.171 8.290 75.43 75.43 60.00
Element x y z (fractional)
As1 0.000 0.000 0.000
Pb1 0.500 0.500 0.500
Pm1 0.262 0.262 0.215
Pm2 0.738 0.738 0.785

## Properties
Space-group type: No. 166

---

Version iii
## Pm2AsPb (GGA-PBE)

Data for a relaxed structure of Pm2AsPb.

Lattice parameters (Å, degrees): 3.658 3.658 8.161 90.00 90.00 90.00
Element x y z (fractional)
Pm1 0.000 0.000 0.214
Pm2 0.000 0.000 0.786
Pb1 0.500 0.500 0.500
As1 0.500 0.500 0.000

## Properties
Space-group type: No. 123

---

Version iv
## Pm2AsPb (GGA-PBE)

Data for a relaxed structure of Pm2AsPb.

Lattice parameters (Å, degrees): 5.390 5.390 5.390 60.00 60.00 60.00
Element x y z (fractional)
Pm1 0.250 0.250 0.250
Pm2 0.750 0.750 0.750
Pb1 0.000 0.000 0.000
As1 0.500 0.500 0.500

## Properties
Space-group type: No. 225

---

On energetic grounds, version ii is preferred over the next structure by 4.9 kJ/mol of atoms.

---

Version i
## Pm3AsPb (GGA-PBE)

Data for a relaxed structure of Pm3AsPb.

Lattice parameters (Å, degrees): 5.539 5.539 5.539 90.00 90.00 90.00
Element x y z (fractional)
As1 0.000 0.000 0.000
Pm1 0.000 0.500 0.000
Pm2 0.500 0.000 0.000
Pm3 0.000 0.000 0.500
Pb1 0.500 0.500 0.500

## Properties
Space-group type: No. 221

---

Version ii
## Pm3AsPb (GGA-PBE)

Data for a relaxed structure of Pm3AsPb.

Lattice parameters (Å, degrees): 4.413 8.746 15.679 90.00 90.00 90.00
Each line ends with the local moment (μB).
Element x y z (fractional)
Pm1 0.250 0.676 0.717  0.09
Pm2 0.250 0.848 0.974  0.05
Pm3 0.750 0.020 0.608  0.12
Pm4 0.250 0.348 0.526  0.05
Pm5 0.250 0.980 0.392  0.12
Pm6 0.750 0.824 0.217  0.09
Pm7 0.750 0.652 0.474  0.05
Pm8 0.250 0.176 0.783  0.09
Pm9 0.250 0.480 0.108  0.12
Pm10 0.750 0.324 0.283  0.09
Pm11 0.750 0.520 0.892  0.12
Pm12 0.750 0.152 0.026  0.05
Pb1 0.250 0.101 0.183  -0.01
Pb2 0.750 0.399 0.683  -0.01
Pb3 0.750 0.899 0.817  -0.01
Pb4 0.250 0.601 0.317  -0.01
As1 0.750 0.183 0.445  -0.01
As2 0.250 0.317 0.945  -0.01
As3 0.750 0.683 0.055  -0.01
As4 0.250 0.817 0.555  -0.01

## Properties
Space-group type: No. 62

---

Version iii
## Pm3AsPb (GGA-PBE)

Data for a relaxed structure of Pm3AsPb.

Lattice parameters (Å, degrees): 6.916 9.691 9.691 98.71 94.86 94.86
Each line ends with the local moment (μB).
Element x y z (fractional)
Pm1 0.379 0.072 0.654  0.06
Pm2 0.448 0.537 0.280  0.08
Pm3 0.880 0.934 0.792  0.01
Pm4 0.121 0.346 0.928  0.06
Pm5 0.380 0.792 0.934  0.01
Pm6 0.120 0.066 0.208  0.01
Pm7 0.052 0.720 0.463  0.08
Pm8 0.552 0.463 0.720  0.08
Pm9 0.948 0.280 0.537  0.08
Pm10 0.620 0.208 0.066  0.01
Pm11 0.879 0.654 0.072  0.06
Pm12 0.621 0.928 0.346  0.06
Pb1 0.021 0.593 0.750  -0.01
Pb2 0.521 0.750 0.593  -0.01
Pb3 0.479 0.250 0.407  -0.01
Pb4 0.979 0.407 0.250  -0.01
As1 0.750 0.931 0.069  0.00
As2 0.250 0.784 0.216  0.00
As3 0.750 0.216 0.784  0.00
As4 0.250 0.069 0.931  0.00

## Properties
Space-group type: No. 15

---

On energetic grounds, version ii is preferred over the next structure by 10.1 kJ/mol of atoms.

---

Version i
## PmAs2Pb (GGA-PBE)

Data for a relaxed structure of PmAs2Pb.

Lattice parameters (Å, degrees): 4.300 4.300 7.553 73.46 73.46 60.00
Element x y z (fractional)
Pm1 0.668 0.668 0.997
Pb1 0.496 0.496 0.512
As1 0.258 0.258 0.227
As2 0.079 0.079 0.764

## Properties
Space-group type: No. 160

---

Version ii
## PmAs2Pb (GGA-PBE)

Data for a relaxed structure of PmAs2Pb.

Lattice parameters (Å, degrees): 3.964 3.964 6.432 90.00 90.00 90.00
Element x y z (fractional)
Pm1 0.500 0.500 0.000
As1 0.000 0.000 0.211
As2 0.000 0.000 0.789
Pb1 0.500 0.500 0.500

## Properties
Space-group type: No. 123

---

On energetic grounds, version ii is preferred over the next structure by 2.3 kJ/mol of atoms.

---

Version i
## PmAs2Pb (GGA-PBE)

Data for a relaxed structure of PmAs2Pb.

Lattice parameters (Å, degrees): 3.919 4.994 4.994 90.00 90.00 90.00
Element x y z (fractional)
As1 0.000 0.500 0.000
As2 0.000 0.000 0.500
Pb1 0.500 0.000 0.000
Pm1 0.500 0.500 0.500

## Properties
Space-group type: No. 123

---

Version ii
## PmAs2Pb (GGA-PBE)

Data for a relaxed structure of PmAs2Pb.

Lattice parameters (Å, degrees): 4.540 4.540 8.500 74.51 74.51 60.00
Element x y z (fractional)
As1 0.890 0.890 0.331
As2 0.110 0.110 0.669
Pm1 0.500 0.500 0.500
Pb1 0.000 0.000 0.000

## Properties
Space-group type: No. 166

---

Version iii
## PmAs2Pb (GGA-PBE)

Data for a relaxed structure of PmAs2Pb.

Lattice parameters (Å, degrees): 5.223 5.223 5.223 60.00 60.00 60.00
Element x y z (fractional)
As1 0.250 0.250 0.250
As2 0.750 0.750 0.750
Pb1 0.000 0.000 0.000
Pm1 0.500 0.500 0.500

## Properties
Space-group type: No. 225

---

On energetic grounds, version i is preferred over the next structure by 9.6 kJ/mol of atoms.

---

Version i
## Pr2AsPb (GGA-PBE)

Data for a relaxed structure of Pr2AsPb.

Lattice parameters (Å, degrees): 4.432 4.530 12.392 100.53 90.00 90.00
Element x y z (fractional)
As1 0.750 0.811 0.622
As2 0.250 0.189 0.378
Pr1 0.750 0.931 0.862
Pr2 0.250 0.069 0.138
Pr3 0.750 0.690 0.380
Pr4 0.250 0.310 0.620
Pb1 0.750 0.547 0.094
Pb2 0.250 0.453 0.906

## Properties
Space-group type: No. 63

---

Version ii
## Pr2AsPb (GGA-PBE)

Data for a relaxed structure of Pr2AsPb.

Lattice parameters (Å, degrees): 4.146 4.146 8.818 76.40 76.40 60.00
Element x y z (fractional)
Pr1 0.265 0.265 0.205
Pr2 0.068 0.068 0.795
As1 0.667 0.667 0.998
Pb1 0.499 0.499 0.502

## Properties
Space-group type: No. 160

---

Version iii
## Pr2AsPb (GGA-PBE)

Data for a relaxed structure of Pr2AsPb.

Lattice parameters (Å, degrees): 4.246 4.246 8.376 75.32 75.32 60.00
Element x y z (fractional)
Pr1 0.261 0.261 0.216
Pr2 0.739 0.739 0.784
Pb1 0.500 0.500 0.500
As1 0.000 0.000 0.000

## Properties
Space-group type: No. 166

---

On energetic grounds, version i is preferred over the next structure by 2.7 kJ/mol of atoms.

---

Version i
## AsPt2Pb2 (GGA-PBE)

Data for a relaxed structure of AsPt2Pb2.

Lattice parameters (Å, degrees): 8.165 8.165 3.333 90.00 90.00 90.00
Element x y z (fractional)
Pb1 0.173 0.327 0.000
Pb2 0.827 0.673 0.000
Pb3 0.327 0.827 0.000
Pb4 0.673 0.173 0.000
Pt1 0.121 0.621 0.500
Pt2 0.879 0.379 0.500
Pt3 0.379 0.121 0.500
Pt4 0.621 0.879 0.500
As1 0.500 0.500 0.000
As2 0.000 0.000 0.000

## Properties
Space-group type: No. 127

---

Version ii
## AsPt2Pb2 (GGA-PBE)

Data for a relaxed structure of AsPt2Pb2.

Lattice parameters (Å, degrees): 7.066 7.066 4.400 90.00 90.00 90.00
Element x y z (fractional)
As1 0.000 0.000 0.000
As2 0.500 0.500 0.000
Pt1 0.857 0.643 0.000
Pt2 0.143 0.357 0.000
Pt3 0.643 0.143 0.000
Pt4 0.357 0.857 0.000
Pb1 0.333 0.167 0.500
Pb2 0.833 0.333 0.500
Pb3 0.667 0.833 0.500
Pb4 0.167 0.667 0.500

## Properties
Space-group type: No. 127

---

On energetic grounds, version ii is preferred over the next structure by 27.0 kJ/mol of atoms.

---

Version i
## AsPtPbSe2 (GGA-PBE)

Data for a relaxed structure of AsPtPbSe2.

Lattice parameters (Å, degrees): 5.357 5.357 5.393 90.00 90.00 90.00
Each line ends with the local moment (μB).
Element x y z (fractional)
Pt1 0.500 0.500 0.500  0.35
Se1 0.500 0.000 0.000  0.15
Se2 0.000 0.500 0.000  0.15
As1 0.000 0.000 0.500  0.20
Pb1 0.000 0.000 0.000  0.00

## Properties
Space-group type: No. 123

---

Version ii
## AsPtPbSe2 (GGA-PBE)

Data for a relaxed structure of AsPtPbSe2.

Lattice parameters (Å, degrees): 5.420 5.420 4.676 90.00 90.00 90.00
Element x y z (fractional)
Se1 0.500 0.000 0.000
Se2 0.000 0.500 0.000
Pb1 0.500 0.500 0.500
Pt1 0.000 0.000 0.000
As1 0.000 0.000 0.500

## Properties
Space-group type: No. 123

---

On energetic grounds, version ii is preferred over the next structure by 117.6 kJ/mol of atoms.

---

Version i
## Pu2AsPb (GGA-PBE)

Data for a relaxed structure of Pu2AsPb.

Lattice parameters (Å, degrees): 4.294 4.821 4.821 90.00 90.00 90.00
Each line ends with the local moment (μB).
Element x y z (fractional)
Pb1 0.500 0.000 0.000  -0.04
Pu1 0.000 0.000 0.500  5.53
Pu2 0.000 0.500 0.000  5.53
As1 0.500 0.500 0.500  -0.09

## Properties
Space-group type: No. 123

---

Version ii
## Pu2AsPb (GGA-PBE)

Data for a relaxed structure of Pu2AsPb.

Lattice parameters (Å, degrees): 3.989 3.989 8.632 76.64 76.64 60.00
Each line ends with the local moment (μB).
Element x y z (fractional)
Pu1 0.263 0.263 0.210  5.26
Pu2 0.737 0.737 0.790  5.26
Pb1 0.500 0.500 0.500  -0.03
As1 0.000 0.000 0.000  -0.15

## Properties
Space-group type: No. 166

---

Version iii
## Pu2AsPb (GGA-PBE)

Data for a relaxed structure of Pu2AsPb.

Lattice parameters (Å, degrees): 3.516 3.516 8.195 90.00 90.00 90.00
Each line ends with the local moment (μB).
Element x y z (fractional)
Pu1 0.000 0.000 0.795  5.38
Pu2 0.000 0.000 0.205  5.38
As1 0.500 0.500 0.000  -0.19
Pb1 0.500 0.500 0.500  -0.08

## Properties
Space-group type: No. 123

---

On energetic grounds, version iii is preferred over the next structure by 8.8 kJ/mol of atoms.